No. 1
# Tb5Nd12Y, relaxed, DFT GGA-PBE
# Formation energy from the elements ... 29.3 kJ/mol of formula units
data_Tb5Nd12Y
_space_group_name_H-M_alt 'C m m m'
_space_group_IT_number 65
_space_group_name_Hall '-C 2 2'
_cell_length_a 15.4440
_cell_length_b 15.4674
_cell_length_c 5.1582
_cell_angle_alpha 90.00
_cell_angle_beta 90.00
_cell_angle_gamma 90.00
loop_
_atom_site_label
_atom_site_fract_x
_atom_site_fract_y
_atom_site_fract_z
Tb1 0.0000 0.0000 0.0000
Tb2 0.0000 0.1666 0.5000
Tb3 0.0000 0.3330 0.0000
Nd1 0.1654 0.0000 0.5000
Nd2 0.1652 0.1666 0.0000
Nd3 0.1653 0.3330 0.5000
Nd4 0.1655 0.5000 0.0000
Y1 0.0000 0.5000 0.5000

---

No. 2
# ScNbNF2, relaxed, DFT GGA-PBE
# ΔE_f (raw) ... -1268 meV per atom
# Offset from the most stable computed form ... 83 meV per atom
data_ScNbNF2
_space_group_name_H-M_alt 'P 4/m m m'
_space_group_IT_number 123
_space_group_name_Hall '-P 4 2'
_cell_length_a 4.2123
_cell_length_b 4.2123
_cell_length_c 4.1138
_cell_angle_alpha 90.00
_cell_angle_beta 90.00
_cell_angle_gamma 90.00
loop_
_atom_site_label
_atom_site_fract_x
_atom_site_fract_y
_atom_site_fract_z
Sc1 0.0000 0.0000 0.0000
Nb1 0.5000 0.5000 0.5000
N1 0.5000 0.5000 0.0000
F1 0.0000 0.5000 0.5000

---

No. 3
# GdDyAgPd, relaxed, DFT GGA-PBE
# Formation energy from the elements ... -220.6 kJ/mol of formula units
data_GdDyAgPd
_space_group_name_H-M_alt 'F -4 3 m'
_space_group_IT_number 216
_space_group_name_Hall 'F -4 2 3'
_cell_length_a 7.1718
_cell_length_b 7.1718
_cell_length_c 7.1718
_cell_angle_alpha 90.00
_cell_angle_beta 90.00
_cell_angle_gamma 90.00
loop_
_atom_site_label
_atom_site_fract_x
_atom_site_fract_y
_atom_site_fract_z
Gd1 0.0000 0.0000 0.0000
Dy1 0.0000 0.0000 0.5000
Ag1 0.2500 0.2500 0.7500
Pd1 0.2500 0.2500 0.2500

---

No. 4
# RbMgAgBi, relaxed, DFT GGA-PBE
# Formation energy from the elements ... -49.6 kJ/mol of formula units
data_RbMgAgBi
_space_group_name_H-M_alt 'P 4/n m m'
_space_group_IT_number 129
_cell_length_a 4.4301
_cell_length_b 4.4301
_cell_length_c 14.2268
_cell_angle_alpha 90.00
_cell_angle_beta 90.00
_cell_angle_gamma 90.00
loop_
_space_group_symop_operation_xyz
'x,y,z'
'-x,-y,-z'
'-y+1/2,x,z'
'y+1/2,-x,-z'
'-x+1/2,-y+1/2,z'
'x+1/2,y+1/2,-z'
'y,-x+1/2,z'
'-y,x+1/2,-z'
'x+1/2,-y,-z'
'-x+1/2,y,z'
'-y,-x,-z'
'y,x,z'
'-x,y+1/2,-z'
'x,-y+1/2,z'
'y+1/2,x+1/2,-z'
'-y+1/2,-x+1/2,z'
loop_
_atom_site_label
_atom_site_fract_x
_atom_site_fract_y
_atom_site_fract_z
Rb1 0.2500 0.2500 0.2136
Mg1 0.2500 0.7500 0.5000
Ag1 0.2500 0.7500 0.0000
Bi1 0.2500 0.2500 0.6378

---

No. 5
# CsHf3Te, relaxed, DFT GGA-PBE
# ΔE_f (raw) ... 2196 meV per atom
# Offset from the most stable computed form ... 1064 meV per atom
data_CsHf3Te
_space_group_name_H-M_alt 'P m -3 m'
_space_group_IT_number 221
_space_group_name_Hall '-P 4 2 3'
_cell_length_a 5.2923
_cell_length_b 5.2923
_cell_length_c 5.2923
_cell_angle_alpha 90.00
_cell_angle_beta 90.00
_cell_angle_gamma 90.00
loop_
_atom_site_label
_atom_site_fract_x
_atom_site_fract_y
_atom_site_fract_z
Cs1 0.0000 0.0000 0.0000
Hf1 0.0000 0.0000 0.5000
Te1 0.5000 0.5000 0.5000

---

No. 6
# NaTl2In8, relaxed, DFT GGA-PBE
# Formation energy from the elements ... -15.5 kJ/mol of formula units
data_NaTl2In8
_space_group_name_H-M_alt 'C 1 2/m 1'
_space_group_IT_number 12
_cell_length_a 17.9213
_cell_length_b 4.6170
_cell_length_c 7.5537
_cell_angle_alpha 90.00
_cell_angle_beta 104.85
_cell_angle_gamma 90.00
loop_
_space_group_symop_operation_xyz
'x,y,z'
'-x,-y,-z'
'-x,y,-z'
'x,-y,z'
'x+1/2,y+1/2,z'
'-x+1/2,-y+1/2,-z'
'-x+1/2,y+1/2,-z'
'x+1/2,-y+1/2,z'
loop_
_atom_site_label
_atom_site_fract_x
_atom_site_fract_y
_atom_site_fract_z
Na1 0.0000 0.0000 0.0000
Tl1 0.2260 0.5000 0.6375
In1 0.0405 0.5000 0.7212
In2 0.0886 0.0000 0.4511
In3 0.1362 0.5000 0.1671
In4 0.1779 0.0000 0.9028